1.
First-principles (GGA-PBE) data for a relaxed SbPt2Pb crystal, as listed in Alexandria.

Values from the calculation:
**Spin magnetization**: 0.00 μB per cell
**Crystal system**: monoclinic
**Uncorrected formation energy**: -0.1883 eV/atom

Cell lengths 4.7397, 4.7397, 6.0523 Å; angles 79.41, 79.41, 44.58 degrees
Element x y z (fractional)
Pb (0.2660, 0.2660, 0.1761)
Pt (0.7495, 0.7495, 0.7469)
Pt (0.0097, 0.0097, 0.9593)
Sb (0.4749, 0.4749, 0.6177)

=====

2.
First-principles (GGA-PBE) data for a relaxed Sb2Pt2Pb crystal, as listed in Alexandria.

Values from the calculation:
**Spin magnetization**: 0.00 μB per cell
**Excess energy over the best structure of this formula in the dataset**: 0.024 eV/atom
**Crystal system**: tetragonal
**Uncorrected formation energy**: -0.1392 eV/atom

Cell lengths 8.0226, 8.0226, 3.4458 Å; angles 90.00, 90.00, 90.00 degrees
Element x y z (fractional)
Sb (0.8417, 0.3417, 0.5000)
Pb (0.0000, 0.0000, 0.0000)
Sb (0.1583, 0.6583, 0.5000)
Pt (0.8724, 0.6276, 0.0000)
Pb (0.5000, 0.5000, 0.0000)
Pt (0.3724, 0.8724, 0.0000)
Pt (0.6276, 0.1276, 0.0000)
Pt (0.1276, 0.3724, 0.0000)
Sb (0.3417, 0.1583, 0.5000)
Sb (0.6583, 0.8417, 0.5000)

=====

3.
First-principles (GGA-PBE) data for a relaxed SbPt2Pb crystal, as listed in Alexandria.

Values from the calculation:
**Spin magnetization**: 0.00 μB per cell
**Crystal system**: cubic
**Uncorrected formation energy**: 0.2333 eV/atom

Cell lengths 4.9036, 4.9036, 4.9036 Å; angles 60.00, 60.00, 60.00 degrees
Element x y z (fractional)
Sb (0.7500, 0.7500, 0.7500)
Pt (0.2500, 0.2500, 0.2500)
Pt (0.0000, 0.0000, 0.0000)
Pb (0.5000, 0.5000, 0.5000)

=====

4.
First-principles (GGA-PBE) data for a relaxed SbPt2Pb crystal, as listed in Alexandria.

Values from the calculation:
**Spin magnetization**: 0.00 μB per cell
**Crystal system**: tetragonal
**Uncorrected formation energy**: 0.0452 eV/atom

Cell lengths 5.6649, 5.6649, 5.6649 Å; angles 137.31, 137.31, 61.96 degrees
Element x y z (fractional)
Pt (0.2500, 0.7500, 0.5000)
Sb (0.5000, 0.5000, 0.0000)
Pt (0.0000, 0.0000, 0.0000)
Pb (0.7500, 0.2500, 0.5000)

=====

5.
First-principles (GGA-PBE) data for a relaxed SbPt4Pb crystal, as listed in Alexandria.

Values from the calculation:
**Spin magnetization**: 0.00 μB per cell
**Excess energy over the best structure of this formula in the dataset**: 0.045 eV/atom
**Crystal system**: cubic
**Uncorrected formation energy**: -0.0786 eV/atom

Cell lengths 5.4596, 5.4596, 5.4596 Å; angles 60.00, 60.00, 60.00 degrees
Element x y z (fractional)
Pt (0.3754, 0.8739, 0.3754)
Pt (0.8739, 0.3754, 0.3754)
Sb (0.7500, 0.7500, 0.7500)
Pt (0.3754, 0.3754, 0.8739)
Pb (0.0000, 0.0000, 0.0000)
Pt (0.3754, 0.3754, 0.3754)

=====

6.
First-principles (GGA-PBE) data for a relaxed SbPt4Pb crystal, as listed in Alexandria.

Values from the calculation:
**Spin magnetization**: 0.00 μB per cell
**Excess energy over the best structure of this formula in the dataset**: 0.000 eV/atom
**Crystal system**: monoclinic
**Uncorrected formation energy**: -0.1238 eV/atom

Cell lengths 4.7429, 7.1263, 7.5474 Å; angles 95.60, 108.31, 90.00 degrees
Element x y z (fractional)
Pt (0.2956, 0.5860, 0.8588)
Pt (0.0610, 0.8657, 0.6271)
Pb (0.8702, 0.7500, 0.0000)
Pt (0.4367, 0.9140, 0.1412)
Pt (0.7044, 0.4140, 0.1412)
Sb (0.5000, 0.0000, 0.5000)
Pt (0.9390, 0.1343, 0.3729)
Pb (0.1298, 0.2500, 0.0000)
Pt (0.4339, 0.6343, 0.3729)
Pt (0.5633, 0.0860, 0.8588)
Pt (0.5661, 0.3657, 0.6271)
Sb (0.0000, 0.5000, 0.5000)

=====

7.
First-principles (GGA-PBE) data for a relaxed SbPt2Pb crystal, as listed in Alexandria.

Values from the calculation:
**Spin magnetization**: 0.00 μB per cell
**Crystal system**: monoclinic
**Uncorrected formation energy**: -0.1689 eV/atom

Cell lengths 3.9596, 6.8924, 5.6365 Å; angles 35.35, 90.00, 90.00 degrees
Element x y z (fractional)
Sb (0.5000, 0.5000, 0.5000)
Pt (0.5000, 0.5000, 0.0000)
Pb (0.0000, 0.0000, 0.5000)
Pt (0.0000, 0.0000, 0.0000)

=====

8.
First-principles (GGA-PBE) data for a relaxed SbPtPb crystal, as listed in Alexandria.

Values from the calculation:
**Spin magnetization**: 0.00 μB per cell
**Crystal system**: monoclinic
**Uncorrected formation energy**: -0.2824 eV/atom

Cell lengths 5.6056, 7.1386, 7.7845 Å; angles 90.42, 90.00, 90.00 degrees
Element x y z (fractional)
Pb (0.7360, 0.4287, 0.8923)
Pb (0.7640, 0.4287, 0.3923)
Sb (0.7883, 0.9367, 0.5987)
Pt (0.5081, 0.7700, 0.3682)
Sb (0.7117, 0.9367, 0.0987)
Pt (0.0081, 0.2300, 0.1318)
Pb (0.2360, 0.5713, 0.6077)
Pt (0.9919, 0.7700, 0.8682)
Pt (0.4919, 0.2300, 0.6318)
Sb (0.2117, 0.0633, 0.4013)
Pb (0.2640, 0.5713, 0.1077)
Sb (0.2883, 0.0633, 0.9013)

=====

9.
First-principles (GGA-PBE) data for a relaxed SbPtPb crystal, as listed in Alexandria.

Values from the calculation:
**Spin magnetization**: 0.00 μB per cell
**Crystal system**: tetragonal
**Uncorrected formation energy**: -0.1779 eV/atom

Cell lengths 6.9230, 6.9228, 3.3741 Å; angles 75.90, 75.89, 28.21 degrees
Element x y z (fractional)
Pt (0.3196, 0.3196, 0.6804)
Pb (0.9733, 0.9733, 0.0267)
Sb (0.7071, 0.7071, 0.2929)

=====

10.
First-principles (GGA-PBE) data for a relaxed SbPt2Pb crystal, as listed in Alexandria.

Values from the calculation:
**Spin magnetization**: 0.00 μB per cell
**Crystal system**: monoclinic
**Uncorrected formation energy**: -0.2698 eV/atom

Cell lengths 3.8343, 4.1359, 6.0747 Å; angles 61.91, 90.00, 90.00 degrees
Element x y z (fractional)
Pb (0.5000, 0.7404, 0.8298)
Sb (0.0000, 0.5029, 0.4141)
Pt (0.5000, 0.1188, 0.3075)
Pt (0.0000, 0.1379, 0.9486)

=====

11.
First-principles (GGA-PBE) data for a relaxed SbPtPb crystal, as listed in Alexandria.

Values from the calculation:
**Spin magnetization**: 0.00 μB per cell
**Crystal system**: monoclinic
**Uncorrected formation energy**: -0.3162 eV/atom

Cell lengths 6.8938, 6.9762, 6.9640 Å; angles 114.37, 90.00, 90.00 degrees
Element x y z (fractional)
Pb (0.8531, 0.8588, 0.1475)
Pt (0.4877, 0.7688, 0.2764)
Pt (0.0123, 0.2688, 0.2764)
Pt (0.5123, 0.2312, 0.7236)
Sb (0.3668, 0.1561, 0.3438)
Pb (0.3531, 0.6412, 0.8525)
Pb (0.6469, 0.3588, 0.1475)
Sb (0.6332, 0.8439, 0.6562)
Sb (0.1332, 0.6561, 0.3438)
Pb (0.1469, 0.1412, 0.8525)
Sb (0.8668, 0.3439, 0.6562)
Pt (0.9877, 0.7312, 0.7236)

=====

12.
First-principles (GGA-PBE) data for a relaxed Sb2Pt2Pb crystal, as listed in Alexandria.

Values from the calculation:
**Spin magnetization**: 0.00 μB per cell
**Excess energy over the best structure of this formula in the dataset**: 0.000 eV/atom
**Crystal system**: tetragonal
**Uncorrected formation energy**: -0.1631 eV/atom

Cell lengths 4.8674, 4.8674, 6.1581 Å; angles 66.72, 66.72, 90.00 degrees
Element x y z (fractional)
Sb (0.2500, 0.7500, 0.5000)
Pb (0.0000, 0.0000, 0.0000)
Sb (0.7500, 0.2500, 0.5000)
Pt (0.6323, 0.6323, 0.7353)
Pt (0.3677, 0.3677, 0.2647)

=====

> What is the spin magnetization in the sixth record?

0.00 μB per cell

=====

> Number 7 is which compound?

SbPt2Pb

=====

Repeat the sixth record exactly.
First-principles (GGA-PBE) data for a relaxed SbPt4Pb crystal, as listed in Alexandria.

Values from the calculation:
**Spin magnetization**: 0.00 μB per cell
**Excess energy over the best structure of this formula in the dataset**: 0.000 eV/atom
**Crystal system**: monoclinic
**Uncorrected formation energy**: -0.1238 eV/atom

Cell lengths 4.7429, 7.1263, 7.5474 Å; angles 95.60, 108.31, 90.00 degrees
Element x y z (fractional)
Pt (0.2956, 0.5860, 0.8588)
Pt (0.0610, 0.8657, 0.6271)
Pb (0.8702, 0.7500, 0.0000)
Pt (0.4367, 0.9140, 0.1412)
Pt (0.7044, 0.4140, 0.1412)
Sb (0.5000, 0.0000, 0.5000)
Pt (0.9390, 0.1343, 0.3729)
Pb (0.1298, 0.2500, 0.0000)
Pt (0.4339, 0.6343, 0.3729)
Pt (0.5633, 0.0860, 0.8588)
Pt (0.5661, 0.3657, 0.6271)
Sb (0.0000, 0.5000, 0.5000)